one.
The following is a GGA-PBE calculation of a relaxed GeBNF2 crystal, from the Alexandria database.

Calculated values
Total moment (μB/atom): 0.000
N(E_F) (states/eV/f.u.): 0.1

a b c (Å): 4.0593 4.0593 3.5440
angles (deg): 90.00 90.00 90.00
Fractional coordinates of all 5 atoms:
Ge (0.0000, 0.0000, 0.0000)
N (0.0000, 0.0000, 0.5000)
B (0.5000, 0.5000, 0.5000)
F (0.0000, 0.5000, 0.0000)
F (0.5000, 0.0000, 0.0000)


two.
The following is a GGA-PBE calculation of a relaxed GeBNF2 crystal, from the Alexandria database.

Calculated values
Total moment (μB/atom): 0.000
N(E_F) (states/eV/f.u.): 2.4

a b c (Å): 4.4561 4.4561 2.7076
angles (deg): 90.00 90.00 90.00
Fractional coordinates of all 5 atoms:
Ge (0.5000, 0.5000, 0.5000)
N (0.0000, 0.0000, 0.5000)
B (0.0000, 0.0000, 0.0000)
F (0.0000, 0.5000, 0.0000)
F (0.5000, 0.0000, 0.0000)


Q: Which of them is the most stable? A: two.


one.
The following is a GGA-PBE calculation of a relaxed Ge2BPF crystal, from the Alexandria database.

Calculated values
Total moment (μB/atom): 0.000
N(E_F) (states/eV/f.u.): 2.1

a b c (Å): 4.6225 3.9282 4.6225
angles (deg): 90.00 90.00 90.00
Fractional coordinates of all 5 atoms:
P (0.5000, 0.5000, 0.5000)
Ge (0.0000, 0.0000, 0.5000)
Ge (0.5000, 0.0000, 0.0000)
B (0.0000, 0.5000, 0.0000)
F (0.0000, 0.0000, 0.0000)


two.
The following is a GGA-PBE calculation of a relaxed Ge2BPF crystal, from the Alexandria database.

Calculated values
Total moment (μB/atom): 0.000
N(E_F) (states/eV/f.u.): 1.0

a b c (Å): 4.3521 3.5433 4.3521
angles (deg): 90.00 90.00 90.00
Fractional coordinates of all 5 atoms:
P (0.5000, 0.5000, 0.5000)
Ge (0.0000, 0.0000, 0.5000)
Ge (0.5000, 0.0000, 0.0000)
B (0.0000, 0.0000, 0.0000)
F (0.0000, 0.5000, 0.0000)


Q: Which of them is the most stable? A: two.


one.
The following is a GGA-PBE calculation of a relaxed BHF4 crystal, from the Alexandria database.

Calculated values
Total moment (μB/atom): 0.000
N(E_F) (states/eV/f.u.): 0.0

a b c (Å): 4.1515 4.1515 4.4170
angles (deg): 118.03 118.03 90.00
Fractional coordinates of all 6 atoms:
B (0.5000, 0.5000, 0.0000)
H (0.7500, 0.2500, 0.5000)
F (0.4722, 0.8606, 0.2432)
F (0.7710, 0.3826, 0.2432)
F (0.1394, 0.2290, 0.7568)
F (0.6174, 0.5278, 0.7568)


two.
The following is a GGA-PBE calculation of a relaxed BHF4 crystal, from the Alexandria database.

Calculated values
Total moment (μB/atom): 0.000
N(E_F) (states/eV/f.u.): 0.0

a b c (Å): 4.5680 4.2194 8.6828
angles (deg): 75.94 85.95 73.11
Fractional coordinates of all 12 atoms:
B (0.7500, 0.1134, 0.2733)
B (0.2500, 0.8866, 0.7267)
H (0.2500, 0.3307, 0.8386)
H (0.7500, 0.6693, 0.1614)
F (0.3614, 0.0451, 0.8441)
F (0.1386, 0.6109, 0.8441)
F (0.5081, 0.2693, 0.3513)
F (0.4919, 0.7307, 0.6487)
F (0.0081, 0.1206, 0.6487)
F (0.8614, 0.3891, 0.1559)
F (0.9919, 0.8794, 0.3513)
F (0.6386, 0.9549, 0.1559)


Q: Which of them is the most stable? A: two.


one.
The following is a GGA-PBE calculation of a relaxed BHF2 crystal, from the Alexandria database.

Calculated values
Total moment (μB/atom): 0.000
N(E_F) (states/eV/f.u.): 0.0

a b c (Å): 4.1902 4.4522 4.4522
angles (deg): 61.57 61.93 61.93
Fractional coordinates of all 4 atoms:
B (0.0000, 0.6613, 0.3387)
H (0.0000, 0.9224, 0.0776)
F (0.1774, 0.3307, 0.3144)
F (0.8226, 0.6856, 0.6693)


two.
The following is a GGA-PBE calculation of a relaxed BHF2 crystal, from the Alexandria database.

Calculated values
Total moment (μB/atom): 0.355
N(E_F) (states/eV/f.u.): 1.8

a b c (Å): 3.5592 3.5592 3.5592
angles (deg): 60.00 60.00 60.00
Fractional coordinates of all 4 atoms:
H (0.0000, 0.0000, 0.0000)
B (0.5000, 0.5000, 0.5000)
F (0.2500, 0.2500, 0.2500)
F (0.7500, 0.7500, 0.7500)


three.
The following is a GGA-PBE calculation of a relaxed BHF2 crystal, from the Alexandria database.

Calculated values
Total moment (μB/atom): 0.000
N(E_F) (states/eV/f.u.): 0.8

a b c (Å): 4.7333 4.7333 4.7316
angles (deg): 59.99 59.99 90.00
Fractional coordinates of all 8 atoms:
H (0.5000, 0.5000, 0.0000)
H (0.2500, 0.7500, 0.5000)
B (0.0000, 0.0000, 0.0000)
B (0.7500, 0.2500, 0.5000)
F (0.8736, 0.1250, 0.2500)
F (0.8764, 0.6250, 0.2500)
F (0.3750, 0.1264, 0.7500)
F (0.8750, 0.1236, 0.7500)


Q: Which of them is the most stable? A: one.


one.
The following is a GGA-PBE calculation of a relaxed B2HF crystal, from the Alexandria database.

Calculated values
Total moment (μB/atom): 0.000
N(E_F) (states/eV/f.u.): 1.1

a b c (Å): 3.2872 3.2872 6.3493
angles (deg): 75.00 75.00 90.00
Fractional coordinates of all 8 atoms:
H (0.5000, 0.5000, 0.0000)
H (0.2500, 0.7500, 0.5000)
B (0.3749, 0.1250, 0.2500)
B (0.3751, 0.6250, 0.2500)
B (0.3750, 0.6251, 0.7500)
B (0.8750, 0.6249, 0.7500)
F (0.0000, 0.0000, 0.0000)
F (0.7500, 0.2500, 0.5000)


two.
The following is a GGA-PBE calculation of a relaxed B2HF crystal, from the Alexandria database.

Calculated values
Total moment (μB/atom): 0.000
N(E_F) (states/eV/f.u.): 0.9

a b c (Å): 3.6445 3.6445 3.6445
angles (deg): 60.00 60.00 60.00
Fractional coordinates of all 4 atoms:
H (0.0000, 0.0000, 0.0000)
B (0.2500, 0.2500, 0.2500)
B (0.7500, 0.7500, 0.7500)
F (0.5000, 0.5000, 0.5000)


Q: Which of them is the most stable? A: one.


one.
The following is a GGA-PBE calculation of a relaxed BH2F8 crystal, from the Alexandria database.

Calculated values
Total moment (μB/atom): 0.273
N(E_F) (states/eV/f.u.): 5.8

a b c (Å): 4.9325 5.1622 5.1622
angles (deg): 68.23 92.42 92.42
Fractional coordinates of all 11 atoms:
B (0.0000, 0.0000, 0.0000)
H (0.4348, 0.2773, 0.2773)
H (0.5652, 0.7227, 0.7227)
F (0.1963, 0.1373, 0.7535)
F (0.1963, 0.7535, 0.1373)
F (0.8037, 0.8627, 0.2465)
F (0.3824, 0.6781, 0.6781)
F (0.8037, 0.2465, 0.8627)
F (0.1521, 0.1696, 0.1696)
F (0.8479, 0.8304, 0.8304)
F (0.6176, 0.3219, 0.3219)


two.
The following is a GGA-PBE calculation of a relaxed BH2F8 crystal, from the Alexandria database.

Calculated values
Total moment (μB/atom): 0.093
N(E_F) (states/eV/f.u.): 1.8

a b c (Å): 5.2437 4.4611 7.0457
angles (deg): 92.34 115.77 109.48
Fractional coordinates of all 11 atoms:
B (0.5000, 0.0000, 0.0000)
H (0.2963, 0.5531, 0.5599)
H (0.7037, 0.4469, 0.4401)
F (0.6618, 0.8182, 0.1263)
F (0.5181, 0.8672, 0.8092)
F (0.1813, 0.3598, 0.4493)
F (0.0357, 0.4658, 0.1082)
F (0.8187, 0.6402, 0.5507)
F (0.4819, 0.1328, 0.1908)
F (0.3382, 0.1818, 0.8737)
F (0.9643, 0.5342, 0.8918)


Q: Which of them is the most stable? A: two.


one.
The following is a GGA-PBE calculation of a relaxed HfBN2F crystal, from the Alexandria database.

Calculated values
Total moment (μB/atom): 0.000
N(E_F) (states/eV/f.u.): 3.0

a b c (Å): 3.9731 3.8681 3.9731
angles (deg): 90.00 90.00 90.00
Fractional coordinates of all 5 atoms:
B (0.5000, 0.5000, 0.5000)
N (0.0000, 0.0000, 0.5000)
N (0.5000, 0.0000, 0.0000)
Hf (0.0000, 0.5000, 0.0000)
F (0.0000, 0.0000, 0.0000)


two.
The following is a GGA-PBE calculation of a relaxed HfBN2F crystal, from the Alexandria database.

Calculated values
Total moment (μB/atom): 0.240
N(E_F) (states/eV/f.u.): 2.5

a b c (Å): 4.1988 4.1988 4.0933
angles (deg): 90.00 90.00 90.00
Fractional coordinates of all 5 atoms:
B (0.5000, 0.5000, 0.5000)
N (0.0000, 0.5000, 0.0000)
N (0.5000, 0.0000, 0.0000)
Hf (0.0000, 0.0000, 0.0000)
F (0.0000, 0.0000, 0.5000)


Q: Which of them is the most stable? A: two.


one.
The following is a GGA-PBE calculation of a relaxed Hg2BF4 crystal, from the Alexandria database.

Calculated values
Total moment (μB/atom): 0.000
N(E_F) (states/eV/f.u.): 1.1

a b c (Å): 5.6916 5.6916 6.0230
angles (deg): 101.23 104.05 122.48
Fractional coordinates of all 7 atoms:
B (0.0005, 0.0135, 0.0140)
Hg (0.7508, 0.2124, 0.4635)
Hg (0.2512, 0.7128, 0.4635)
F (0.8339, 0.1301, 0.9640)
F (0.9531, 0.8321, 0.7852)
F (0.8941, 0.8384, 0.1549)
F (0.3165, 0.2608, 0.1549)


two.
The following is a GGA-PBE calculation of a relaxed Hg2BF4 crystal, from the Alexandria database.

Calculated values
Total moment (μB/atom): 0.000
N(E_F) (states/eV/f.u.): 1.7

a b c (Å): 4.2057 4.2057 7.1651
angles (deg): 107.07 107.07 90.00
Fractional coordinates of all 7 atoms:
Hg (0.7500, 0.2500, 0.5000)
Hg (0.2500, 0.7500, 0.5000)
B (0.5000, 0.5000, 0.0000)
F (0.7571, 0.3704, 0.1276)
F (0.3704, 0.7571, 0.1276)
F (0.6296, 0.6296, 0.8724)
F (0.2429, 0.2429, 0.8724)


Q: Which of them is the most stable? A: one.